Here is ErTm3Th2As6 after structural relaxation from Alexandria. Energies are from PBE.

SG: No. 12
Energy relative to the elements (eV per atom): -1.470
Crystal system: monoclinic

a = 4.145 Å, b = 8.251 Å, c = 9.236 Å
α = 102.73°, β = 102.97°, γ = 90.00°
Fractional coordinates of all 12 atoms:
Th 0.165 0.330 0.329
Th 0.835 0.670 0.671
As 0.336 0.410 0.671
As 0.997 0.249 0.994
As 0.333 0.926 0.667
As 0.664 0.590 0.329
As 0.667 0.074 0.333
As 0.003 0.751 0.006
Tm 0.834 0.166 0.667
Tm 0.500 0.500 0.000
Tm 0.166 0.834 0.333
Er 0.500 0.000 0.000

***

Here is Np2InSb4 after structural relaxation from Alexandria. Energies are from PBE.

Formation energy without anion corrections (eV/atom): -0.15
SG: No. 115
Crystal system: tetragonal

a = 4.326 Å, b = 4.326 Å, c = 10.591 Å
α = 90.00°, β = 90.00°, γ = 90.00°
Fractional coordinates of all 7 atoms:
In 0.500 0.500 0.000
Sb 0.500 0.000 0.190
Sb 0.000 0.500 0.810
Sb 0.000 0.000 0.500
Sb 0.500 0.500 0.500
Np 0.000 0.500 0.272
Np 0.500 0.000 0.728

***

Here is Tm6Pb2O after structural relaxation from Alexandria. Energies are from PBE.

Formation energy without anion corrections (eV/atom): -0.82
SG: No. 14
Crystal system: monoclinic

a = 6.535 Å, b = 6.551 Å, c = 10.577 Å
α = 90.00°, β = 90.24°, γ = 90.00°
Fractional coordinates of all 18 atoms:
Pb 0.946 0.564 0.750
Pb 0.054 0.436 0.250
Pb 0.554 0.064 0.750
Pb 0.446 0.936 0.250
Tm 0.679 0.809 0.987
Tm 0.064 0.030 0.745
Tm 0.183 0.687 0.015
Tm 0.683 0.813 0.515
Tm 0.817 0.313 0.985
Tm 0.821 0.309 0.513
Tm 0.179 0.691 0.487
Tm 0.564 0.470 0.245
Tm 0.936 0.970 0.255
Tm 0.321 0.191 0.013
Tm 0.317 0.187 0.485
Tm 0.436 0.530 0.755
O 0.500 0.500 0.000
O 0.000 0.000 0.500

***

Here is YTiSiGe2 after structural relaxation from Alexandria. Energies are from PBE.

Formation energy without anion corrections (eV/atom): 0.56
SG: No. 123
Crystal system: tetragonal

a = 4.805 Å, b = 5.222 Å, c = 4.805 Å
α = 90.00°, β = 90.00°, γ = 90.00°
Fractional coordinates of all 5 atoms:
Ge 0.500 0.000 0.000
Ge 0.000 0.000 0.500
Si 0.000 0.000 0.000
Y 0.000 0.500 0.000
Ti 0.500 0.500 0.500

***

Here is BaMnBe2 after structural relaxation from Alexandria. Energies are from PBE.

SG: No. 44
Energy relative to the elements (eV per atom): 0.724
Crystal system: orthorhombic

a = 5.214 Å, b = 5.214 Å, c = 5.214 Å
α = 136.46°, β = 110.30°, γ = 85.88°
Fractional coordinates of all 4 atoms:
Mn 0.403 0.403 0.000
Ba 0.760 0.260 0.500
Be 0.228 0.728 0.500
Be 0.109 0.109 0.000

***

Here is K2TlTe after structural relaxation from Alexandria. Energies are from PBE.

Formation energy without anion corrections (eV/atom): -0.51
SG: No. 139
Crystal system: tetragonal

a = 6.411 Å, b = 6.411 Å, c = 6.411 Å
α = 130.98°, β = 131.07°, γ = 71.77°
Fractional coordinates of all 4 atoms:
K 0.000 0.000 0.000
K 0.500 0.500 0.000
Te 0.750 0.250 0.500
Tl 0.250 0.750 0.500

***

Here is VCo2TcH after structural relaxation from Alexandria. Energies are from PBE.

SG: No. 123
Crystal system: tetragonal

a = 3.608 Å, b = 3.608 Å, c = 3.856 Å
α = 90.00°, β = 90.00°, γ = 90.00°
Fractional coordinates of all 5 atoms:
Co 0.000 0.500 0.000
Co 0.500 0.000 0.000
Tc 0.000 0.000 0.500
V 0.500 0.500 0.500
H 0.000 0.000 0.000

***

Here is RbNpF6 after structural relaxation from Alexandria. Energies are from PBE.

Formation energy without anion corrections (eV/atom): -3.25
SG: No. 15
Crystal system: monoclinic

a = 5.289 Å, b = 6.261 Å, c = 11.198 Å
α = 100.83°, β = 90.00°, γ = 114.99°
Fractional coordinates of all 16 atoms:
Np 0.000 0.500 0.500
Np 0.500 0.500 0.000
F 0.575 0.291 0.505
F 0.695 0.616 0.848
F 0.284 0.709 0.995
F 0.078 0.384 0.652
F 0.716 0.291 0.005
F 0.996 0.201 0.380
F 0.795 0.799 0.120
F 0.305 0.384 0.152
F 0.425 0.709 0.495
F 0.004 0.799 0.620
F 0.205 0.201 0.880
F 0.922 0.616 0.348
Rb 0.345 0.000 0.250
Rb 0.655 0.000 0.750

***

Here is KFeSi2 after structural relaxation from Alexandria. Energies are from PBE.

Formation energy without anion corrections (eV/atom): 0.12
SG: No. 25
Crystal system: orthorhombic

a = 3.707 Å, b = 2.818 Å, c = 7.429 Å
α = 90.06°, β = 90.00°, γ = 90.00°
Fractional coordinates of all 4 atoms:
Fe 0.000 0.625 0.336
Si 0.000 0.125 0.083
Si 0.500 0.125 0.329
K 0.500 0.625 0.752

***

Here is Ac12Si5Pb3 after structural relaxation from Alexandria. Energies are from PBE.

Formation energy without anion corrections (eV/atom): -0.22
SG: No. 230
Crystal system: cubic

a = 16.393 Å, b = 16.393 Å, c = 16.393 Å
α = 109.47°, β = 109.47°, γ = 109.47°
Fractional coordinates of all 80 atoms:
Ac 0.086 0.913 0.126
Ac 0.414 0.374 0.587
Ac 0.673 0.460 0.586
Ac 0.914 0.087 0.874
Ac 0.714 0.126 0.040
Ac 0.874 0.587 0.914
Ac 0.374 0.960 0.786
Ac 0.626 0.040 0.214
Ac 0.214 0.673 0.087
Ac 0.413 0.126 0.586
Ac 0.673 0.214 0.587
Ac 0.714 0.587 0.173
Ac 0.913 0.827 0.786
Ac 0.786 0.460 0.374
Ac 0.126 0.714 0.540
Ac 0.173 0.086 0.960
Ac 0.540 0.214 0.126
Ac 0.587 0.714 0.673
Ac 0.374 0.414 0.087
Ac 0.827 0.914 0.040
Ac 0.586 0.626 0.413
Ac 0.626 0.586 0.913
Ac 0.327 0.786 0.413
Ac 0.414 0.040 0.327
Ac 0.286 0.874 0.960
Ac 0.914 0.827 0.540
Ac 0.286 0.413 0.827
Ac 0.786 0.327 0.913
Ac 0.460 0.673 0.086
Ac 0.960 0.374 0.286
Ac 0.587 0.874 0.414
Ac 0.087 0.173 0.214
Ac 0.214 0.540 0.626
Ac 0.960 0.586 0.173
Ac 0.040 0.626 0.714
Ac 0.413 0.286 0.327
Ac 0.586 0.960 0.673
Ac 0.540 0.327 0.914
Ac 0.327 0.540 0.414
Ac 0.040 0.414 0.827
Ac 0.913 0.086 0.626
Ac 0.126 0.413 0.086
Ac 0.827 0.913 0.286
Ac 0.086 0.173 0.460
Ac 0.173 0.087 0.714
Ac 0.460 0.786 0.874
Ac 0.087 0.914 0.374
Ac 0.874 0.286 0.460
Pb 0.375 0.625 0.250
Pb 0.875 0.750 0.125
Pb 0.625 0.375 0.750
Pb 0.250 0.125 0.375
Pb 0.625 0.250 0.375
Pb 0.375 0.750 0.625
Pb 0.750 0.375 0.125
Pb 0.125 0.250 0.875
Pb 0.750 0.875 0.625
Pb 0.875 0.125 0.250
Pb 0.250 0.625 0.875
Pb 0.125 0.875 0.750
Si 0.250 0.875 0.125
Si 0.125 0.375 0.250
Si 0.000 0.500 0.000
Si 0.000 0.000 0.000
Si 0.875 0.625 0.750
Si 0.500 0.500 0.500
Si 0.625 0.875 0.250
Si 0.375 0.250 0.125
Si 0.750 0.625 0.375
Si 0.375 0.125 0.750
Si 0.500 0.500 0.000
Si 0.000 0.500 0.500
Si 0.875 0.250 0.625
Si 0.250 0.375 0.625
Si 0.750 0.125 0.875
Si 0.500 0.000 0.000
Si 0.125 0.750 0.375
Si 0.000 0.000 0.500
Si 0.500 0.000 0.500
Si 0.625 0.750 0.875

***

Here is Tm6GaCo3 after structural relaxation from Alexandria. Energies are from PBE.

SG: No. 11
Energy relative to the elements (eV per atom): -0.197
Crystal system: monoclinic

a = 3.920 Å, b = 10.313 Å, c = 12.030 Å
α = 110.85°, β = 90.00°, γ = 90.00°
Fractional coordinates of all 20 atoms:
Tm 0.250 0.571 0.915
Tm 0.250 0.269 0.681
Tm 0.750 0.429 0.085
Tm 0.750 0.126 0.437
Tm 0.750 0.840 0.096
Tm 0.750 0.483 0.610
Tm 0.250 0.517 0.390
Tm 0.750 0.839 0.803
Tm 0.250 0.161 0.197
Tm 0.750 0.731 0.319
Tm 0.250 0.874 0.563
Tm 0.250 0.160 0.904
Co 0.250 0.313 0.474
Co 0.750 0.073 0.027
Co 0.250 0.633 0.162
Co 0.750 0.367 0.838
Co 0.750 0.687 0.526
Co 0.250 0.927 0.973
Ga 0.750 0.075 0.703
Ga 0.250 0.925 0.297

***

Here is Sb2PtCl after structural relaxation from Alexandria. Energies are from PBE.

Formation energy without anion corrections (eV/atom): 0.30
SG: No. 119
Crystal system: tetragonal

a = 5.452 Å, b = 5.452 Å, c = 5.452 Å
α = 131.72°, β = 131.72°, γ = 70.66°
Fractional coordinates of all 4 atoms:
Pt 0.750 0.250 0.500
Sb 0.000 0.000 0.000
Sb 0.250 0.750 0.500
Cl 0.500 0.500 0.000

***

Here is Pm3Pr6Sm2In after structural relaxation from Alexandria. Energies are from PBE.

SG: No. 12
Energy relative to the elements (eV per atom): -0.043
Crystal system: monoclinic

a = 6.312 Å, b = 6.312 Å, c = 12.035 Å
α = 95.11°, β = 95.11°, γ = 120.23°
Fractional coordinates of all 12 atoms:
Pm 0.500 0.500 0.500
Pm 0.169 0.831 0.500
Pm 0.831 0.169 0.500
Pr 0.919 0.594 0.754
Pr 0.594 0.919 0.754
Pr 0.406 0.081 0.246
Pr 0.081 0.406 0.246
Pr 0.757 0.757 0.248
Pr 0.243 0.243 0.752
Sm 0.334 0.666 0.000
Sm 0.666 0.334 0.000
In 0.000 0.000 0.000

***

Here is Tl2TePb after structural relaxation from Alexandria. Energies are from PBE.

Formation energy without anion corrections (eV/atom): -0.08
SG: No. 6
Crystal system: monoclinic

a = 5.967 Å, b = 3.384 Å, c = 6.290 Å
α = 89.90°, β = 90.00°, γ = 90.00°
Fractional coordinates of all 4 atoms:
Tl 0.500 0.128 0.276
Tl 0.000 0.121 0.973
Pb 0.000 0.626 0.485
Te 0.500 0.625 0.765

***

Theoretical density in g cm⁻³, matching the order above: 8.79, 9.01, 10.59, 4.27, 3.97, 4.64, 8.86, 4.41, 3.23, 6.83, 9.21, 8.90, 6.91, 9.72
Calculated volume in Å³ per atom, matching the order above: 24.99, 28.32, 25.16, 24.11, 21.99, 36.68, 10.04, 20.55, 19.40, 42.39, 22.72, 22.11, 33.97, 31.75
Electronic total energy in eV/atom, matching the order above: -6.53, -6.60, -5.17, -5.24, -3.91, -2.44, -7.51, -6.39, -4.98, -4.59, -5.31, -3.73, -4.63, -2.97